Record 1
{"formula": "FeHgSCl2", "functional": "PBE", "state": "relaxed", "relative_energy_mev_per_atom": 635.7, "raw_formation_energy_ev_per_atom": 0.619, "lattice": [[5.150, 0.000, 0.000], [0.000, 5.150, 0.000], [0.000, 0.000, 5.091]], "species": ["Fe", "Hg", "S", "Cl", "Cl"], "frac_coords": [[0.000, 0.000, 0.000], [0.500, 0.500, 0.500], [0.500, 0.500, 0.000], [0.000, 0.500, 0.500], [0.500, 0.000, 0.500]]}

Record 2
{"formula": "Dy5Pd2Pb", "functional": "PBE", "state": "relaxed", "delta_e_f_mev_per_atom": -628, "lattice": [[-3.938, 3.938, 6.757], [3.938, -3.938, 6.757], [3.938, 3.938, -6.757]], "species": ["Dy", "Dy", "Dy", "Dy", "Dy", "Dy", "Dy", "Dy", "Dy", "Dy", "Pd", "Pd", "Pd", "Pd", "Pb", "Pb"], "frac_coords": [[0.000, 0.000, 0.000], [0.016, 0.516, 0.813], [0.203, 0.016, 0.500], [0.297, 0.797, 0.813], [0.484, 0.297, 0.500], [0.500, 0.500, 0.000], [0.516, 0.703, 0.500], [0.703, 0.203, 0.187], [0.797, 0.984, 0.500], [0.984, 0.484, 0.187], [0.135, 0.365, 0.500], [0.365, 0.865, 0.230], [0.635, 0.135, 0.770], [0.865, 0.635, 0.500], [0.250, 0.250, 0.000], [0.750, 0.750, 0.000]]}

Record 3
{"formula": "Cs3AgS3", "functional": "PBE", "state": "relaxed", "raw_formation_energy_ev_per_atom": -0.624, "lattice": [[9.960, 0.000, 0.000], [-4.980, 8.626, 0.000], [0.000, 0.000, 7.158]], "species": ["Cs", "Cs", "Cs", "Cs", "Cs", "Cs", "Ag", "Ag", "S", "S", "S", "S", "S", "S"], "frac_coords": [[0.089, 0.373, 0.250], [0.284, 0.911, 0.250], [0.373, 0.284, 0.750], [0.627, 0.716, 0.250], [0.716, 0.089, 0.750], [0.911, 0.627, 0.750], [0.333, 0.667, 0.750], [0.667, 0.333, 0.250], [0.111, 0.416, 0.750], [0.304, 0.889, 0.750], [0.416, 0.304, 0.250], [0.584, 0.696, 0.750], [0.696, 0.111, 0.250], [0.889, 0.584, 0.250]]}

Record 4
{"formula": "TlTcCl2", "functional": "PBE", "state": "relaxed", "relative_energy_mev_per_atom": 13.1, "raw_formation_energy_ev_per_atom": -0.150, "lattice": [[3.223, 0.000, 0.000], [0.000, 2.359, 6.814], [0.000, -2.359, 6.814]], "species": ["Tl", "Tc", "Cl", "Cl"], "frac_coords": [[0.000, 0.000, 0.000], [0.500, 0.526, 0.526], [0.000, 0.657, 0.657], [0.500, 0.355, 0.355]]}